Entry from Alexandria via LeMat-Bulk: an optimized crystal structure of LiRePt (PBE).

Cell and atoms, written as POSCAR:
```
LiRePt
1.0
7.230 0.000 0.000
0.000 3.715 0.000
0.000 0.000 7.577
Li Pt Re
4 4 4
direct
0.027 0.750 0.147 Li
0.527 0.750 0.353 Li
0.473 0.250 0.647 Li
0.973 0.250 0.853 Li
0.258 0.750 0.833 Pt
0.758 0.750 0.667 Pt
0.742 0.250 0.167 Pt
0.242 0.250 0.333 Pt
0.603 0.750 0.961 Re
0.103 0.750 0.539 Re
0.897 0.250 0.461 Re
0.397 0.250 0.039 Re
```

Excess energy over the best structure of this formula in the dataset ... 0.218 eV/atom
DFT formation energy ... -0.03 eV per atom
E ... -6.836 eV per atom
Space group ... Pnma

Entry from Alexandria via LeMat-Bulk: an optimized crystal structure of ScBe2Ir2 (PBE).

Cell and atoms, written as POSCAR:
```
ScBe2Ir2
1.0
6.826 0.000 0.000
0.000 6.826 0.000
0.000 0.000 2.847
Ir Be Sc
4 4 2
direct
0.350 0.850 0.000 Ir
0.650 0.150 0.000 Ir
0.850 0.650 0.000 Ir
0.150 0.350 0.000 Ir
0.143 0.643 0.500 Be
0.857 0.357 0.500 Be
0.357 0.143 0.500 Be
0.643 0.857 0.500 Be
0.500 0.500 0.000 Sc
0.000 0.000 0.000 Sc
```

Excess energy over the best structure of this formula in the dataset ... 0.197 eV/atom
DFT formation energy ... -0.54 eV per atom
E ... -6.841 eV per atom
Space group ... P4/mbm

Entry from Alexandria via LeMat-Bulk: an optimized crystal structure of La2ScZn3Ge4 (PBE).

Cell and atoms, written as POSCAR:
```
La2ScZn3Ge4
1.0
-3.768 -2.116 -0.671
1.241 -3.104 2.820
-4.635 5.639 8.245
Ge Zn La Sc
4 3 2 1
direct
0.500 0.000 0.647 Ge
0.000 0.000 0.000 Ge
0.000 0.500 0.353 Ge
0.500 0.500 0.000 Ge
0.000 0.500 0.124 Zn
0.500 0.000 0.876 Zn
0.000 0.000 0.500 Zn
0.500 0.000 0.232 La
0.000 0.500 0.768 La
0.500 0.500 0.500 Sc
```

DFT formation energy ... -0.55 eV per atom
E ... -4.399 eV per atom
Space group ... P-4m2

Entry from Alexandria via LeMat-Bulk: an optimized crystal structure of ZrTl2InF6 (PBE).

Cell and atoms, written as POSCAR:
```
ZrTl2InF6
1.0
6.299 0.000 0.000
0.000 8.074 0.000
0.000 0.000 8.557
F Tl In Zr
12 4 2 2
direct
0.231 0.704 0.000 F
0.723 0.932 0.500 F
0.269 0.296 0.500 F
0.777 0.068 0.000 F
0.769 0.704 0.000 F
0.000 0.866 0.762 F
0.500 0.134 0.262 F
0.500 0.134 0.738 F
0.731 0.296 0.500 F
0.000 0.866 0.238 F
0.223 0.068 0.000 F
0.277 0.932 0.500 F
0.500 0.570 0.255 Tl
0.000 0.430 0.245 Tl
0.500 0.570 0.745 Tl
0.000 0.430 0.755 Tl
0.000 0.743 0.500 In
0.500 0.257 0.000 In
0.000 0.881 0.000 Zr
0.500 0.119 0.500 Zr
```

E_form (uncorrected) ... -2.49 eV per atom
E ... -5.214 eV per atom
Space group ... Pmmn